# 1
DFT (GGA-PBE) results for Mg3PN after structural relaxation.

Geometry as POSCAR:
```
Mg3PN
1.0
4.0040 0.0000 0.0000
0.0000 4.0040 0.0000
0.0000 0.0000 6.2499
Mg P N
3 1 1
Direct
0.0000 0.0000 0.0000 Mg
0.0000 0.5000 0.6124 Mg
0.5000 0.0000 0.6124 Mg
0.0000 0.0000 0.3836 P
0.5000 0.5000 0.7688 N
```

**Relative energy among the computed polymorphs**: 0.677 eV/atom
**Formation energy from raw total energies**: -0.0613 eV per atom

# 2
DFT (GGA-PBE) results for RbLa2GaC after structural relaxation.

Geometry as POSCAR:
```
RbLa2GaC
1.0
5.1026 0.0000 0.0000
0.0000 5.1026 0.0000
0.0000 0.0000 5.9774
Rb La Ga C
1 2 1 1
Direct
0.0000 0.0000 0.0000 Rb
0.0000 0.5000 0.5000 La
0.5000 0.0000 0.5000 La
0.5000 0.5000 0.0000 Ga
0.0000 0.0000 0.5000 C
```

**Formation energy from the elements**: 1.7 eV/f.u.

# 3
DFT (GGA-PBE) results for TcPdRh2 after structural relaxation.

Geometry as POSCAR:
```
TcPdRh2
1.0
1.3663 0.7888 8.9894
-1.3663 0.7888 8.9894
0.0000 -1.5777 8.9894
Tc Pd Rh
1 1 2
Direct
0.0000 0.0000 0.0000 Tc
0.5000 0.5000 0.5000 Pd
0.2533 0.2533 0.2533 Rh
0.7467 0.7467 0.7467 Rh
```

**Relative energy among the computed polymorphs**: 0.023 eV/atom
**Formation energy from the elements**: -0.3 eV/f.u.

# 4
DFT (GGA-PBE) results for CrReIr2 after structural relaxation.

Geometry as POSCAR:
```
CrReIr2
1.0
1.3664 0.7889 8.6910
-1.3664 0.7889 8.6910
0.0000 -1.5777 8.6910
Cr Re Ir
1 1 2
Direct
0.0000 0.0000 0.0000 Cr
0.5000 0.5000 0.5000 Re
0.2531 0.2531 0.2531 Ir
0.7469 0.7469 0.7469 Ir
```

**Relative energy among the computed polymorphs**: 0.204 eV/atom
**Formation energy from the elements**: -0.2 eV/f.u.

# 5
DFT (GGA-PBE) results for Sr2Li5CaMg2 after structural relaxation.

Geometry as POSCAR:
```
Sr2Li5CaMg2
1.0
11.5492 0.0000 0.0000
0.0000 11.5492 0.0000
0.0000 0.0000 4.5727
Sr Li Ca Mg
4 10 2 4
Direct
0.1831 0.3169 0.0000 Sr
0.3169 0.8169 0.0000 Sr
0.6831 0.1831 0.0000 Sr
0.8169 0.6831 0.0000 Sr
0.0000 0.5000 0.5000 Li
0.0634 0.7779 0.5000 Li
0.2221 0.0634 0.5000 Li
0.2779 0.5634 0.5000 Li
0.4366 0.2779 0.5000 Li
0.5000 0.0000 0.5000 Li
0.5634 0.7221 0.5000 Li
0.7221 0.4366 0.5000 Li
0.7779 0.9366 0.5000 Li
0.9366 0.2221 0.5000 Li
0.0000 0.0000 0.0000 Ca
0.5000 0.5000 0.0000 Ca
0.1093 0.6093 0.0000 Mg
0.3907 0.1093 0.0000 Mg
0.6093 0.8907 0.0000 Mg
0.8907 0.3907 0.0000 Mg
```

**Formation energy from the elements**: 0.2 eV/f.u.

# 6
DFT (GGA-PBE) results for CaScSb2 after structural relaxation.

Geometry as POSCAR:
```
CaScSb2
1.0
2.1874 1.2629 7.0816
-2.1874 1.2629 7.0816
0.0000 -2.5258 7.0816
Ca Sc Sb
1 1 2
Direct
0.0000 0.0000 0.0000 Ca
0.8278 0.8278 0.8278 Sc
0.2359 0.2359 0.2359 Sb
0.4240 0.4240 0.4240 Sb
```

**Relative energy among the computed polymorphs**: 0.025 eV/atom
**Formation energy from raw total energies**: -0.8197 eV per atom

# 7
DFT (GGA-PBE) results for KRe after structural relaxation.

Geometry as POSCAR:
```
KRe
1.0
6.9441 0.0000 0.0000
0.0000 6.9441 0.0000
0.0000 0.0000 6.7881
K Re
4 4
Direct
0.1744 0.1744 0.0000 K
0.3256 0.6744 0.5000 K
0.6744 0.3256 0.5000 K
0.8256 0.8256 0.0000 K
0.1085 0.1085 0.5000 Re
0.3915 0.6085 0.0000 Re
0.6085 0.3915 0.0000 Re
0.8915 0.8915 0.5000 Re
```

**Relative energy among the computed polymorphs**: 1.295 eV/atom
**Formation energy from the elements**: 4.3 eV/f.u.

# 8
DFT (GGA-PBE) results for FeCoBr after structural relaxation.

Geometry as POSCAR:
```
FeCoBr
1.0
-1.5334 1.5334 4.9965
1.5334 -1.5334 4.9965
1.5334 1.5334 -4.9965
Fe Co Br
1 1 1
Direct
0.0000 0.0000 0.0000 Fe
0.3787 0.3787 0.0000 Co
0.6882 0.6882 0.0000 Br
```

**Relative energy among the computed polymorphs**: 0.143 eV/atom
**Formation energy from raw total energies**: 0.5635 eV per atom

# 9
DFT (GGA-PBE) results for CdCu2Au after structural relaxation.

Geometry as POSCAR:
```
CdCu2Au
1.0
1.4642 0.8454 8.6877
-1.4642 0.8454 8.6877
0.0000 -1.6907 8.6877
Cd Cu Au
1 2 1
Direct
0.0000 0.0000 0.0000 Cd
0.2475 0.2475 0.2475 Cu
0.7525 0.7525 0.7525 Cu
0.5000 0.5000 0.5000 Au
```

**Formation energy from the elements**: 0.3 eV/f.u.

# 10
DFT (GGA-PBE) results for NaMgCd3 after structural relaxation.

Geometry as POSCAR:
```
NaMgCd3
1.0
-2.1773 2.1773 6.9807
2.1773 -2.1773 6.9807
2.1773 2.1773 -6.9807
Na Mg Cd
1 1 3
Direct
0.0000 0.0000 0.0000 Na
0.6191 0.6191 0.0000 Mg
0.2662 0.7662 0.5000 Cd
0.4178 0.4178 0.0000 Cd
0.7662 0.2662 0.5000 Cd
```

**Relative energy among the computed polymorphs**: 0.048 eV/atom
**Formation energy from the elements**: 0.1 eV/f.u.

# 11
DFT (GGA-PBE) results for Co2PbAu after structural relaxation.

Geometry as POSCAR:
```
Co2PbAu
1.0
0.0000 3.2252 3.2252
3.2252 0.0000 3.2252
3.2252 3.2252 0.0000
Co Pb Au
2 1 1
Direct
0.0000 0.0000 0.0000 Co
0.2500 0.2500 0.2500 Co
0.5000 0.5000 0.5000 Pb
0.7500 0.7500 0.7500 Au
```

**Formation energy from the elements**: 2.2 eV/f.u.

# 12
DFT (GGA-PBE) results for Mn2AuBr after structural relaxation.

Geometry as POSCAR:
```
Mn2AuBr
1.0
1.5667 0.9045 8.9806
-1.5667 0.9045 8.9806
0.0000 -1.8090 8.9806
Mn Au Br
2 1 1
Direct
0.0000 0.0000 0.0000 Mn
0.2595 0.2595 0.2595 Mn
0.7408 0.7408 0.7408 Au
0.5277 0.5277 0.5277 Br
```

**Relative energy among the computed polymorphs**: 0.186 eV/atom
**Formation energy from raw total energies**: 0.2509 eV per atom